Entry 1:
ZrCd3Bi after structural relaxation. Source: Alexandria, functional GGA-PBE.

## Properties
SG   Pm-3m (221)
Magnetic moment   0.26 μB per formula unit
Energy of formation from the pure elements   0.8167 eV per atom
Distance to the lowest polymorph of the same formula   0 meV/atom
DFT total energy   -11.09 eV per formula unit

Cell: 5.536 5.536 5.536 Å, 90.00 90.00 90.00°
Last column: magnetic moment on the atom in μB.
Fractional positions:
Zr 0.000 0.000 0.000  0.16
Cd 0.500 0.000 0.000  0.01
Cd 0.000 0.500 0.000  0.01
Cd 0.000 0.000 0.500  0.00
Bi 0.500 0.500 0.500  -0.03

---

Entry 2:
Zr2CdBi2 after structural relaxation. Source: Alexandria, functional GGA-PBE.

## Properties
SG   P4/mbm (127)
Magnetic moment   0.00 μB per formula unit
Energy of formation from the pure elements   -0.0754 eV per atom
Distance to the lowest polymorph of the same formula   131 meV/atom
DFT total energy   -26.15 eV per formula unit

Cell: 8.259 8.259 3.804 Å, 90.00 90.00 90.00°
Fractional positions:
Bi 0.845 0.655 0.000
Zr 0.136 0.636 0.500
Zr 0.364 0.136 0.500
Zr 0.864 0.364 0.500
Bi 0.345 0.845 0.000
Bi 0.655 0.155 0.000
Cd 0.500 0.500 0.000
Zr 0.636 0.864 0.500
Bi 0.155 0.345 0.000
Cd 0.000 0.000 0.000

---

Entry 3:
Zr2CdBi after structural relaxation. Source: Alexandria, functional GGA-PBE.

## Properties
SG   I-42d (122)
Magnetic moment   0.00 μB per formula unit
Energy of formation from the pure elements   0.0606 eV per atom
DFT total energy   -21.65 eV per formula unit

Cell: 7.998 7.998 6.460 Å, 51.75 51.75 90.00°
Fractional positions:
Zr 0.375 0.376 0.750
Bi 0.750 0.250 0.500
Zr 0.624 0.125 0.250
Zr 0.126 0.625 0.250
Zr 0.875 0.874 0.750
Cd 0.250 0.750 0.500
Cd 0.500 0.500 0.000
Bi 0.000 0.000 0.000

---

Entry 4:
ZrCd2Bi after structural relaxation. Source: Alexandria, functional GGA-PBE.

## Properties
SG   I-42d (122)
Magnetic moment   0.00 μB per formula unit
Energy of formation from the pure elements   0.1334 eV per atom
DFT total energy   -13.73 eV per formula unit

Cell: 8.417 8.417 6.635 Å, 50.64 50.64 90.00°
Fractional positions:
Cd 0.875 0.873 0.750
Cd 0.375 0.377 0.750
Bi 0.000 0.000 0.000
Bi 0.750 0.250 0.500
Cd 0.127 0.625 0.250
Zr 0.500 0.500 0.000
Zr 0.250 0.750 0.500
Cd 0.623 0.125 0.250

---

Entry 5:
ZrCd2Bi after structural relaxation. Source: Alexandria, functional GGA-PBE.

## Properties
SG   P4/mmm (123)
Magnetic moment   0.00 μB per formula unit
Energy of formation from the pure elements   -0.0680 eV per atom
DFT total energy   -14.53 eV per formula unit

Cell: 4.956 4.364 4.364 Å, 90.00 90.00 90.00°
Fractional positions:
Bi 0.500 0.000 0.000
Cd 0.000 0.000 0.500
Cd 0.000 0.500 0.000
Zr 0.500 0.500 0.500

---

Entry 6:
Zr2CdBi after structural relaxation. Source: Alexandria, functional GGA-PBE.

## Properties
SG   I-4m2 (119)
Magnetic moment   0.00 μB per formula unit
Energy of formation from the pure elements   -0.1327 eV per atom
DFT total energy   -22.42 eV per formula unit

Cell: 4.335 4.335 9.957 Å, 90.00 90.00 90.00°
Fractional positions:
Cd 0.500 0.500 0.500
Bi 0.500 0.000 0.750
Zr 0.500 0.500 0.000
Zr 0.000 0.000 0.500
Bi 0.000 0.500 0.250
Zr 0.500 0.000 0.250
Cd 0.000 0.000 0.000
Zr 0.000 0.500 0.750

---

Entry 7:
Zr8CdBi2 after structural relaxation. Source: Alexandria, functional GGA-PBE.

## Properties
SG   C2/m (12)
Magnetic moment   0.00 μB per formula unit
Energy of formation from the pure elements   0.0097 eV per atom
DFT total energy   -76.96 eV per formula unit

Cell: 5.500 7.926 7.926 Å, 120.71 102.47 102.47°
Fractional positions:
Bi 0.000 0.696 0.304
Zr 0.300 0.589 0.589
Zr 0.500 0.221 0.779
Zr 0.844 0.687 0.905
Zr 0.844 0.905 0.687
Zr 0.700 0.411 0.411
Cd 0.500 0.000 0.000
Zr 0.156 0.095 0.313
Zr 0.500 0.779 0.221
Bi 0.000 0.304 0.696
Zr 0.156 0.313 0.095

---

Entry 8:
Zr2CdBi after structural relaxation. Source: Alexandria, functional GGA-PBE.

## Properties
SG   P1 (1)
Magnetic moment   0.00 μB per formula unit
Energy of formation from the pure elements   -0.1456 eV per atom
DFT total energy   -22.47 eV per formula unit

Cell: 5.472 5.890 6.241 Å, 103.00 90.56 100.51°
Fractional positions:
Cd 0.209 0.194 0.065
Bi 0.566 0.836 0.413
Zr 0.056 0.814 0.655
Zr 0.729 0.344 0.333
Zr 0.714 0.260 0.812
Cd 0.053 0.689 0.120
Bi 0.221 0.333 0.584
Zr 0.566 0.765 0.903